Compound: K2CaCoF6
Source: Alexandria via LeMat-Bulk
Functional: PBE with a Hubbard U
Structure: relaxed

E = -5.0047 eV/atom
space group = No. 71
spin magnetization = 3.00 μB per cell

extended XYZ file:
```
10
Lattice="-3.036 3.041 4.284 3.036 -3.041 4.284 3.036 3.041 -4.284" Properties=species:S:1:pos:R:3 pbc="T T T"
K 0.000 0.000 2.119
K 0.000 0.000 6.449
Ca 0.000 3.041 0.000
Co 3.036 0.000 0.000
F 1.569 1.451 0.000
F 3.036 0.000 2.049
F 4.502 1.451 0.000
F -1.467 1.590 4.284
F 0.000 3.041 2.235
F 1.467 1.590 4.284
```